Pr3Nd2Sm6Tl PBE optimized geometry; formation enthalpy at 0 K = -0.026 eV per atom
1.0
-3.1210 -3.6746 4.0037
0.1462 -1.4152 -6.1032
10.7780 -4.7009 2.4333
Tl Nd Pr Sm
1 2 3 6
Cartesian
0.0000 0.0000 0.0000 Tl
-2.0315 -2.9212 0.6335 Nd
-0.9433 -2.1686 -2.7330 Nd
2.8192 -5.6439 3.5153 Pr
4.9840 -4.1468 -3.1816 Pr
3.9016 -4.8954 0.1669 Pr
1.3897 -2.7658 1.7318 Sm
2.4542 -2.0296 -1.5612 Sm
0.4147 -5.0118 -0.9864 Sm
6.4136 -7.0250 -1.3980 Sm
7.3885 -4.7789 1.3201 Sm
5.3490 -7.7611 1.8950 Sm